Entry 1:
The following is a DFT calculation (PBE) of a relaxed ReSbAu4 crystal.

Cell lengths 5.5323, 5.5323, 5.5323 Å; angles 60.00, 60.00, 60.00 degrees
Last column: nearest neighbours and their distance in Å.
Sites, in units of the cell vectors:
Re: 0.0000 0.0000 0.0000  12 Au 3.24, 4 Sb 3.39
Sb: 0.7500 0.7500 0.7500  12 Au 3.24, 4 Re 3.39
Au: 0.3747 0.3747 0.3747  6 Au 2.76-2.77
Au: 0.3747 0.3747 0.8760  6 Au 2.76-2.77
Au: 0.3747 0.8760 0.3747  6 Au 2.76-2.77
Au: 0.8760 0.3747 0.3747  6 Au 2.76-2.77

Values from the calculation:
V, Å³/f.u.: 119.7
Uncorrected formation energy, meV/atom: 728
Crystal system: cubic

=====

Entry 2:
The following is a DFT calculation (PBE) of a relaxed ReSbAu3 crystal.

Cell lengths 5.1948, 5.1948, 5.1948 Å; angles 90.00, 90.00, 90.00 degrees
Last column: nearest neighbours and their distance in Å.
Sites, in units of the cell vectors:
Re: 0.0000 0.0000 0.0000  12 Au 3.67
Sb: 0.5000 0.5000 0.5000  6 Au 2.60
Au: 0.0000 0.5000 0.5000  2 Sb 2.60
Au: 0.5000 0.0000 0.5000  2 Sb 2.60
Au: 0.5000 0.5000 0.0000  2 Sb 2.60

Values from the calculation:
Distance to the lowest polymorph of the same formula, eV/f.u.: 1.437
V, Å³/f.u.: 140.2
Uncorrected formation energy, meV/atom: 1508
Crystal system: cubic

=====

Entry 3:
The following is a DFT calculation (PBE) of a relaxed ReSb2Au crystal.

Cell lengths 4.8504, 4.8504, 4.8504 Å; angles 60.00, 60.00, 60.00 degrees
Last column: nearest neighbours and their distance in Å.
Sites, in units of the cell vectors:
Re: 0.0000 0.0000 0.0000  8 Sb 2.97
Sb: 0.2500 0.2500 0.2500  4 Re 2.97, 4 Au 2.97
Sb: 0.7500 0.7500 0.7500  4 Re 2.97, 4 Au 2.97
Au: 0.5000 0.5000 0.5000  8 Sb 2.97

Values from the calculation:
Distance to the lowest polymorph of the same formula, eV/f.u.: 1.442
V, Å³/f.u.: 80.7
Uncorrected formation energy, meV/atom: 674
Crystal system: cubic

=====

Entry 4:
The following is a DFT calculation (PBE) of a relaxed ReSb2Au crystal.

Cell lengths 4.7295, 4.7295, 5.5932 Å; angles 99.51, 99.51, 41.87 degrees
Last column: nearest neighbours and their distance in Å.
Sites, in units of the cell vectors:
Re: 0.0000 0.0000 0.0000  6 Sb 2.77-2.89
Sb: 0.2702 0.2702 0.7748  1 Au 2.75, 3 Re 2.77-2.89
Sb: 0.7298 0.7298 0.2252  1 Au 2.75, 3 Re 2.77-2.89
Au: 0.5000 0.5000 0.5000  2 Sb 2.75

Values from the calculation:
Distance to the lowest polymorph of the same formula, eV/f.u.: 0.802
V, Å³/f.u.: 82.2
Uncorrected formation energy, meV/atom: 514
Crystal system: monoclinic

=====

Entry 5:
The following is a DFT calculation (PBE) of a relaxed ReSb2TeAu crystal.

Cell lengths 5.1825, 5.1825, 5.1876 Å; angles 90.00, 90.00, 90.00 degrees
Last column: nearest neighbours and their distance in Å.
Sites, in units of the cell vectors:
Re: 0.0000 0.0000 0.0000  4 Sb 2.59, 2 Te 2.59
Sb: 0.0000 0.5000 0.0000  2 Re 2.59
Sb: 0.5000 0.0000 0.0000  2 Re 2.59
Te: 0.0000 0.0000 0.5000  2 Re 2.59
Au: 0.5000 0.5000 0.5000  4 Te 3.66, 8 Sb 3.67

Values from the calculation:
Distance to the lowest polymorph of the same formula, eV/f.u.: 0.000
V, Å³/f.u.: 139.3
Uncorrected formation energy, meV/atom: 765
Crystal system: tetragonal

=====

Entry 6:
The following is a DFT calculation (PBE) of a relaxed ReSb2TeAu crystal.

Cell lengths 5.3178, 5.3178, 5.3865 Å; angles 90.00, 90.00, 90.00 degrees
Last column: nearest neighbours and their distance in Å.
Sites, in units of the cell vectors:
Re: 0.0000 0.0000 0.0000  4 Te 3.76, 8 Sb 3.78
Sb: 0.0000 0.5000 0.5000  2 Au 2.66
Sb: 0.5000 0.0000 0.5000  2 Au 2.66
Te: 0.5000 0.5000 0.0000  2 Au 2.69
Au: 0.5000 0.5000 0.5000  4 Sb 2.66, 2 Te 2.69

Values from the calculation:
Distance to the lowest polymorph of the same formula, eV/f.u.: 4.022
V, Å³/f.u.: 152.3
Uncorrected formation energy, meV/atom: 1570
Crystal system: tetragonal

=====

Entry 7:
The following is a DFT calculation (PBE) of a relaxed ReSbTe2Au crystal.

Cell lengths 5.4223, 5.4223, 5.2765 Å; angles 90.00, 90.00, 90.00 degrees
Last column: nearest neighbours and their distance in Å.
Sites, in units of the cell vectors:
Re: 0.0000 0.0000 0.0000  8 Te 3.78, 4 Sb 3.83
Sb: 0.5000 0.5000 0.0000  2 Au 2.64
Te: 0.0000 0.5000 0.5000  2 Au 2.71
Te: 0.5000 0.0000 0.5000  2 Au 2.71
Au: 0.5000 0.5000 0.5000  2 Sb 2.64, 4 Te 2.71

Values from the calculation:
Distance to the lowest polymorph of the same formula, eV/f.u.: 3.703
V, Å³/f.u.: 155.1
Uncorrected formation energy, meV/atom: 1558
Crystal system: tetragonal

=====

Entry 8:
The following is a DFT calculation (PBE) of a relaxed ReSbTe2Au crystal.

Cell lengths 5.1980, 5.1980, 5.2271 Å; angles 90.00, 90.00, 90.00 degrees
Last column: nearest neighbours and their distance in Å.
Sites, in units of the cell vectors:
Re: 0.0000 0.0000 0.0000  4 Te 2.60, 2 Sb 2.61
Sb: 0.0000 0.0000 0.5000  2 Re 2.61
Te: 0.0000 0.5000 0.0000  2 Re 2.60
Te: 0.5000 0.0000 0.0000  2 Re 2.60
Au: 0.5000 0.5000 0.5000  4 Sb 3.68, 8 Te 3.69

Values from the calculation:
Distance to the lowest polymorph of the same formula, eV/f.u.: 0.000
V, Å³/f.u.: 141.2
Uncorrected formation energy, meV/atom: 817
Crystal system: tetragonal

=====

Entry 9:
The following is a DFT calculation (PBE) of a relaxed ScReAu crystal.

Cell lengths 5.1855, 5.1855, 5.1855 Å; angles 148.88, 132.68, 57.72 degrees
Last column: nearest neighbours and their distance in Å.
Sites, in units of the cell vectors:
Sc: 0.0000 0.0000 0.0000  2 Sc 2.78, 4 Re 2.88, 5 Au 2.95-2.97
Re: 0.3435 0.3435 0.0000  2 Re 2.78, 4 Sc 2.88, 5 Au 2.94-2.99
Au: 0.6729 0.6729 0.0000  2 Au 2.78, 5 Re 2.94-2.99, 5 Sc 2.95-2.97

Values from the calculation:
Distance to the lowest polymorph of the same formula, eV/f.u.: 0.265
Energy relative to the elements, meV/atom: 119
V, Å³/f.u.: 52.6
Crystal system: orthorhombic

=====

Entry 10:
The following is a DFT calculation (PBE) of a relaxed Sc4ReAu crystal.

Cell lengths 5.4616, 5.4616, 5.4616 Å; angles 60.00, 60.00, 60.00 degrees
Last column: nearest neighbours and their distance in Å.
Sites, in units of the cell vectors:
Sc: 0.3760 0.3760 0.3760  6 Sc 2.71-2.75
Sc: 0.3760 0.3760 0.8720  6 Sc 2.71-2.75
Sc: 0.3760 0.8720 0.3760  6 Sc 2.71-2.75
Sc: 0.8720 0.3760 0.3760  6 Sc 2.71-2.75
Re: 0.7500 0.7500 0.7500  12 Sc 3.20, 4 Au 3.34
Au: 0.0000 0.0000 0.0000  12 Sc 3.20, 4 Re 3.34

Values from the calculation:
Energy relative to the elements, meV/atom: 407
V, Å³/f.u.: 115.2
Crystal system: cubic

=====

Entry 11:
The following is a DFT calculation (PBE) of a relaxed ScReAu crystal.

Cell lengths 5.1671, 5.1671, 5.1671 Å; angles 141.46, 141.46, 55.64 degrees
Last column: nearest neighbours and their distance in Å.
Sites, in units of the cell vectors:
Sc: 0.0000 0.0000 0.0000  5 Re 2.88-3.00, 5 Au 2.90-2.96
Re: 0.6716 0.6716 0.0000  4 Au 2.78, 5 Sc 2.88-3.00
Au: 0.3236 0.3236 0.0000  4 Re 2.78, 5 Sc 2.90-2.96

Values from the calculation:
Distance to the lowest polymorph of the same formula, eV/f.u.: 0.387
Energy relative to the elements, meV/atom: 160
V, Å³/f.u.: 53.1
Crystal system: tetragonal

=====

Entry 12:
The following is a DFT calculation (PBE) of a relaxed ScReAu crystal.

Cell lengths 4.6370, 4.6370, 2.8867 Å; angles 90.00, 90.00, 120.00 degrees
Last column: nearest neighbours and their distance in Å.
Sites, in units of the cell vectors:
Sc: 0.0000 0.0000 0.0000  2 Sc 2.89, 6 Au 3.04, 6 Re 3.04
Re: 0.3333 0.6667 0.5000  3 Au 2.68, 2 Re 2.89
Au: 0.6667 0.3333 0.5000  3 Re 2.68, 2 Au 2.89

Values from the calculation:
Distance to the lowest polymorph of the same formula, eV/f.u.: 0.275
Energy relative to the elements, meV/atom: 123
V, Å³/f.u.: 53.8
Crystal system: hexagonal

=====

Entry 13:
The following is a DFT calculation (PBE) of a relaxed ScReAu crystal.

Cell lengths 6.7889, 6.7889, 6.7889 Å; angles 155.90, 155.90, 34.35 degrees
Last column: nearest neighbours and their distance in Å.
Sites, in units of the cell vectors:
Sc: 0.0000 0.0000 0.0000  4 Sc 2.83, 4 Re 2.92, 4 Au 3.00
Re: 0.6632 0.6632 0.0000  4 Re 2.83, 4 Sc 2.92, 4 Au 2.93
Au: 0.3279 0.3279 0.0000  4 Au 2.83, 4 Re 2.93, 4 Sc 3.00

Values from the calculation:
Distance to the lowest polymorph of the same formula, eV/f.u.: 0.000
Energy relative to the elements, meV/atom: 31
V, Å³/f.u.: 52.1
Crystal system: tetragonal

=====

Entry 14:
The following is a DFT calculation (PBE) of a relaxed ScReAu crystal.

Cell lengths 4.4631, 4.4631, 4.4631 Å; angles 60.00, 60.00, 60.00 degrees
Last column: nearest neighbours and their distance in Å.
Sites, in units of the cell vectors:
Sc: 0.0000 0.0000 0.0000  4 Au 2.73
Re: 0.5000 0.5000 0.5000  4 Au 2.73
Au: 0.2500 0.2500 0.2500  4 Re 2.73, 4 Sc 2.73

Values from the calculation:
Distance to the lowest polymorph of the same formula, eV/f.u.: 1.749
Energy relative to the elements, meV/atom: 614
V, Å³/f.u.: 62.9
Crystal system: cubic

=====

Entry 15:
The following is a DFT calculation (PBE) of a relaxed ScReAu4 crystal.

Cell lengths 5.4043, 5.4043, 5.4043 Å; angles 60.00, 60.00, 60.00 degrees
Last column: nearest neighbours and their distance in Å.
Sites, in units of the cell vectors:
Sc: 0.0000 0.0000 0.0000  12 Au 3.17, 4 Re 3.31
Re: 0.2500 0.2500 0.2500  12 Au 3.17, 4 Sc 3.31
Au: 0.1254 0.6249 0.6249  6 Au 2.70-2.71
Au: 0.6249 0.1254 0.6249  6 Au 2.70-2.71
Au: 0.6249 0.6249 0.1254  6 Au 2.70-2.71
Au: 0.6249 0.6249 0.6249  6 Au 2.70-2.71

Values from the calculation:
Energy relative to the elements, meV/atom: 333
V, Å³/f.u.: 111.6
Crystal system: cubic

=====

Entry 16:
The following is a DFT calculation (PBE) of a relaxed ScRe3Au crystal.

Cell lengths 4.5758, 4.5758, 4.5758 Å; angles 90.00, 90.00, 90.00 degrees
Last column: nearest neighbours and their distance in Å.
Sites, in units of the cell vectors:
Sc: 0.0000 0.0000 0.0000  6 Re 2.29
Re: 0.0000 0.0000 0.5000  2 Sc 2.29
Re: 0.0000 0.5000 0.0000  2 Sc 2.29
Re: 0.5000 0.0000 0.0000  2 Sc 2.29
Au: 0.5000 0.5000 0.5000  12 Re 3.24

Values from the calculation:
Energy relative to the elements, meV/atom: 2421
V, Å³/f.u.: 95.8
Crystal system: cubic

=====

Entry 17:
The following is a DFT calculation (PBE) of a relaxed ScReAu crystal.

Cell lengths 4.4499, 4.4499, 4.4499 Å; angles 60.00, 60.00, 60.00 degrees
Last column: nearest neighbours and their distance in Å.
Sites, in units of the cell vectors:
Sc: 0.0000 0.0000 0.0000  4 Re 2.72, 4 Au 2.72
Re: 0.7500 0.7500 0.7500  4 Sc 2.72
Au: 0.2500 0.2500 0.2500  4 Sc 2.72

Values from the calculation:
Distance to the lowest polymorph of the same formula, eV/f.u.: 2.638
Energy relative to the elements, meV/atom: 910
V, Å³/f.u.: 62.3
Crystal system: cubic

=====

Entry 18:
The following is a DFT calculation (PBE) of a relaxed ScReAu crystal.

Cell lengths 2.9565, 2.9565, 6.9896 Å; angles 90.00, 90.00, 120.00 degrees
Last column: nearest neighbours and their distance in Å.
Sites, in units of the cell vectors:
Sc: 0.0000 0.0000 0.0000  3 Re 2.82, 3 Au 2.92, 6 Sc 2.96
Re: 0.3333 0.6667 0.6796  3 Sc 2.82, 3 Au 2.93, 6 Re 2.96
Au: 0.6667 0.3333 0.3391  3 Sc 2.92, 3 Re 2.93, 6 Au 2.96

Values from the calculation:
Distance to the lowest polymorph of the same formula, eV/f.u.: 0.475
Energy relative to the elements, meV/atom: 189
V, Å³/f.u.: 52.9
Crystal system: trigonal

=====

Entry 19:
The following is a DFT calculation (PBE) of a relaxed ScRe4Au crystal.

Cell lengths 5.2467, 5.2467, 5.2467 Å; angles 60.00, 60.00, 60.00 degrees
Last column: nearest neighbours and their distance in Å.
Sites, in units of the cell vectors:
Sc: 0.0000 0.0000 0.0000  12 Re 3.08, 4 Au 3.21
Re: 0.3758 0.3758 0.3758  6 Re 2.61-2.64
Re: 0.3758 0.3758 0.8725  6 Re 2.61-2.64
Re: 0.3758 0.8725 0.3758  6 Re 2.61-2.64
Re: 0.8725 0.3758 0.3758  6 Re 2.61-2.64
Au: 0.7500 0.7500 0.7500  12 Re 3.07, 4 Sc 3.21

Values from the calculation:
Energy relative to the elements, meV/atom: 135
V, Å³/f.u.: 102.1
Crystal system: cubic

=====

Entry 20:
The following is a DFT calculation (PBE) of a relaxed ScReSiAu2 crystal.

Cell lengths 5.0260, 5.0260, 4.8033 Å; angles 90.00, 90.00, 90.00 degrees
Last column: nearest neighbours and their distance in Å.
Sites, in units of the cell vectors:
Sc: 0.0000 0.0000 0.0000  2 Re 2.40, 4 Au 2.51
Re: 0.0000 0.0000 0.5000  2 Sc 2.40
Si: 0.5000 0.5000 0.5000  8 Au 3.48, 4 Re 3.55
Au: 0.0000 0.5000 0.0000  2 Sc 2.51
Au: 0.5000 0.0000 0.0000  2 Sc 2.51

Values from the calculation:
V, Å³/f.u.: 121.3
Uncorrected formation energy, meV/atom: 1541
Crystal system: tetragonal